1.
Material: Be2NbSi
Method: DFT, PBE
State: optimized geometry

The structure in extended XYZ format:
```
4
Lattice="-2.730 1.931 1.230 1.108 -0.625 3.441 2.081 3.019 -0.122" Properties=species:S:1:pos:R:3 pbc="T T T"
Be 1.041 1.510 -0.061
Be 0.554 -0.313 1.721
Nb 0.230 2.163 2.275
Si -1.365 0.966 0.615
```

Output
ΔE_f (raw)   -0.2481 eV per atom
Spin magnetization   0.000 μB per formula unit
D(E_F)   1.0 states/eV per cell
Total energy   -5.98 eV per atom

***

2.
Material: Be3NbSi
Method: DFT, PBE
State: optimized geometry

The structure in extended XYZ format:
```
5
Lattice="-3.678 1.345 2.056 -1.952 -3.847 -0.975 1.492 -1.718 3.793" Properties=species:S:1:pos:R:3 pbc="T T T"
Be -0.976 -1.924 -0.488
Be 0.746 -0.859 1.896
Be -1.839 0.672 1.028
Nb 0.000 0.000 0.000
Si -2.069 -2.110 2.436
```

Output
ΔE_f (raw)   1.7038 eV per atom
Spin magnetization   0.000 μB per formula unit
D(E_F)   4.5 states/eV per cell
Total energy   -3.63 eV per atom
Excess energy over the best structure of this formula in the dataset   82.9 kJ per mole of atoms

***

3.
Material: BeNb2Si
Method: DFT, PBE
State: optimized geometry

The structure in extended XYZ format:
```
4
Lattice="-0.226 -3.736 2.242 -3.883 -1.622 1.152 -1.514 -3.611 -1.925" Properties=species:S:1:pos:R:3 pbc="T T T"
Be 0.000 0.000 0.000
Nb -1.406 -2.242 0.367
Nb -4.217 -6.727 1.102
Si -2.811 -4.485 0.735
```

Output
ΔE_f (raw)   -0.0505 eV per atom
Spin magnetization   0.000 μB per formula unit
D(E_F)   5.0 states/eV per cell
Total energy   -7.37 eV per atom
Excess energy over the best structure of this formula in the dataset   54.1 kJ per mole of atoms

***

4.
Material: Be3Nb3Si2
Method: DFT, PBE
State: optimized geometry

The structure in extended XYZ format:
```
16
Lattice="-2.940 2.068 -0.145 0.323 -2.949 -3.999 -6.459 -8.766 5.943" Properties=species:S:1:pos:R:3 pbc="T T T"
Be -4.691 -3.412 1.833
Be -7.124 -9.953 2.486
Be -1.952 0.306 -0.688
Be -4.385 -6.235 -0.034
Be -2.427 -3.548 -1.398
Be -6.649 -6.099 3.197
Nb -4.946 -3.991 -1.269
Nb -5.886 -8.039 4.684
Nb -3.190 -1.607 -2.885
Nb -4.130 -5.656 3.068
Nb -3.392 -1.671 0.322
Nb -5.684 -7.976 1.476
Si -7.931 -7.940 2.942
Si -3.067 -4.317 0.626
Si -6.008 -5.330 1.173
Si -1.145 -1.707 -1.143
```

Output
ΔE_f (raw)   -0.4707 eV per atom
Spin magnetization   0.000 μB per formula unit
D(E_F)   6.6 states/eV per cell
Total energy   -7.00 eV per atom

***

5.
Material: Be2Nb2Si
Method: DFT, PBE
State: optimized geometry

The structure in extended XYZ format:
```
10
Lattice="-2.248 -1.054 2.738 4.471 -2.280 0.298 0.772 7.324 3.453" Properties=species:S:1:pos:R:3 pbc="T T T"
Be 2.821 2.925 5.936
Be 1.880 -0.013 4.032
Be 0.174 1.064 0.553
Be 1.116 4.002 2.457
Nb -0.065 -1.166 1.992
Nb 3.076 2.331 3.423
Nb 3.061 5.156 4.497
Nb -0.081 1.658 3.067
Si 2.037 0.482 1.857
Si 0.959 3.508 4.632
```

Output
ΔE_f (raw)   -0.3260 eV per atom
Spin magnetization   0.000 μB per formula unit
D(E_F)   4.2 states/eV per cell
Total energy   -6.93 eV per atom
Excess energy over the best structure of this formula in the dataset   0.6 kJ per mole of atoms

***

6.
Material: BeNb2Si
Method: DFT, PBE
State: optimized geometry

The structure in extended XYZ format:
```
4
Lattice="-1.613 2.990 -0.999 -3.532 0.231 0.118 -1.409 3.031 5.069" Properties=species:S:1:pos:R:3 pbc="T T T"
Be 0.000 0.000 0.000
Nb -1.642 1.541 0.987
Nb -4.912 4.710 3.199
Si -3.277 3.126 2.093
```

Output
ΔE_f (raw)   -0.1182 eV per atom
Spin magnetization   0.000 μB per formula unit
D(E_F)   1.6 states/eV per cell
Total energy   -7.44 eV per atom
Excess energy over the best structure of this formula in the dataset   47.6 kJ per mole of atoms

***

7.
Material: Be2NbSi2
Method: DFT, PBE
State: optimized geometry

The structure in extended XYZ format:
```
5
Lattice="4.812 0.000 0.000 0.000 4.812 0.000 0.000 0.000 4.495" Properties=species:S:1:pos:R:3 pbc="T T T"
Be 2.406 2.406 2.247
Be 0.000 0.000 2.247
Nb 0.000 0.000 0.000
Si 0.000 2.406 0.000
Si 2.406 0.000 0.000
```

Output
ΔE_f (raw)   1.3609 eV per atom
Spin magnetization   0.000 μB per formula unit
D(E_F)   3.5 states/eV per cell
Total energy   -4.31 eV per atom

***

8.
Material: BeNb3Si
Method: DFT, PBE
State: optimized geometry

The structure in extended XYZ format:
```
5
Lattice="4.372 0.000 0.000 0.000 4.372 0.000 0.000 0.000 4.372" Properties=species:S:1:pos:R:3 pbc="T T T"
Be 0.000 0.000 0.000
Nb 0.000 2.186 0.000
Nb 0.000 0.000 2.186
Nb 2.186 0.000 0.000
Si 2.186 2.186 2.186
```

Output
ΔE_f (raw)   0.4071 eV per atom
Spin magnetization   0.000 μB per formula unit
D(E_F)   6.8 states/eV per cell
Total energy   -7.46 eV per atom
Excess energy over the best structure of this formula in the dataset   0.0 kJ per mole of atoms